The following is a DFT calculation (PBE) of a geometry-optimized Pm4Tm3Sc4 structure.

a b c (Å): 17.4729 17.4729 17.4729
angles (deg): 168.75 161.99 21.29
Closest atoms and distances in Å follow each position.
Fractional positions:
Pm 0.0908 0.0908 0.0000  3 Sc 3.08-3.17, 2 Pm 3.43
Pm 0.2693 0.7693 0.5000  4 Sc 3.23-3.50, 6 Pm 3.43-3.49
Pm 0.7307 0.2307 0.5000  4 Sc 3.23-3.50, 6 Pm 3.43-3.49
Pm 0.9092 0.9092 0.0000  3 Sc 3.08-3.17, 2 Pm 3.43
Tm 0.0000 0.5000 0.5000  2 Tm 3.43, 4 Pm 3.56, 8 Sc 3.57
Tm 0.3643 0.3643 0.0000  2 Tm 3.43, 6 Sc 3.57-3.58, 6 Pm 3.58-3.69
Tm 0.6357 0.6357 0.0000  2 Tm 3.43, 6 Sc 3.57-3.58, 6 Pm 3.58-3.69
Sc 0.1804 0.1804 0.0000  3 Pm 3.08-3.23, 2 Sc 3.43
Sc 0.4558 0.9558 0.5000  1 Sc 3.03, 2 Pm 3.17
Sc 0.5442 0.0442 0.5000  1 Sc 3.03, 2 Pm 3.17
Sc 0.8196 0.8196 0.0000  3 Pm 3.08-3.23, 2 Sc 3.43

The total energy is -56.86 eV per cell. The calculation puts the density of states at the Fermi level at 19.614 states/eV/f.u. The formation energy is 0.081 eV per atom.


The following is a DFT calculation (PBE) of a geometry-optimized PmPuAl structure.

a b c (Å): 3.6742 3.6742 11.7676
angles (deg): 90.00 90.00 90.00
Closest atoms and distances in Å follow each position.
Fractional positions:
Pm 0.0000 0.0000 0.0000  4 Al 3.17, 5 Pu 3.51-3.52
Pm 0.5000 0.5000 0.5000  4 Al 3.17, 5 Pu 3.51-3.52
Pu 0.0000 0.0000 0.7018  4 Al 3.10
Pu 0.5000 0.5000 0.2018  4 Al 3.10
Al 0.0000 0.0000 0.3453  4 Pu 3.10, 4 Pm 3.17
Al 0.5000 0.5000 0.8453  4 Pu 3.10, 4 Pm 3.17

The total energy is -46.08 eV per cell. The calculation puts the density of states at the Fermi level at 6.629 states/eV/f.u. Its excess energy over the best structure of this formula in the dataset is 0.000 eV/atom. The formation energy is -0.071 eV per atom.


The following is a DFT calculation (PBE) of a geometry-optimized SrCrAgRh2 structure.

a b c (Å): 4.9560 4.9560 5.1897
angles (deg): 90.00 90.00 90.00
Closest atoms and distances in Å follow each position.
Fractional positions:
Sr 0.0000 0.0000 0.0000  2 Ag 2.59
Cr 0.5000 0.5000 0.0000  4 Sr 3.50, 8 Rh 3.59
Ag 0.0000 0.0000 0.5000  4 Rh 2.48, 2 Sr 2.59
Rh 0.0000 0.5000 0.5000  2 Ag 2.48
Rh 0.5000 0.0000 0.5000  2 Ag 2.48

The total energy is -20.28 eV per cell. The calculation puts the density of states at the Fermi level at 8.891 states/eV/f.u. The formation energy is 1.717 eV per atom.


The following is a DFT calculation (PBE) of a geometry-optimized Er2ZnCu structure.

a b c (Å): 3.4822 3.4822 6.9845
angles (deg): 90.00 90.00 90.00
Closest atoms and distances in Å follow each position.
Fractional positions:
Er 0.0000 0.0000 0.2430  4 Cu 2.99, 4 Zn 3.05
Er 0.0000 0.0000 0.7570  4 Cu 2.99, 4 Zn 3.05
Zn 0.5000 0.5000 0.5000  8 Er 3.05
Cu 0.5000 0.5000 0.0000  8 Er 2.99

The total energy is -15.75 eV per cell. The calculation puts the density of states at the Fermi level at 2.532 states/eV/f.u. Its excess energy over the best structure of this formula in the dataset is 0.000 eV/atom. The formation energy is -0.313 eV per atom.


The following is a DFT calculation (PBE) of a geometry-optimized Y2InGe structure.

a b c (Å): 8.0581 8.0581 6.7857
angles (deg): 90.00 90.00 90.00
Closest atoms and distances in Å follow each position.
Fractional positions:
Y 0.2225 0.2500 0.1250  2 Ge 2.83, 2 In 3.13
Y 0.2500 0.7225 0.3750  2 Ge 2.83, 2 In 3.13
Y 0.2500 0.7775 0.8750  2 Ge 2.83, 2 In 3.13
Y 0.2775 0.2500 0.6250  2 Ge 2.83, 2 In 3.13
Y 0.7225 0.7500 0.6250  2 Ge 2.83, 2 In 3.13
Y 0.7500 0.2225 0.8750  2 Ge 2.83, 2 In 3.13
Y 0.7500 0.2775 0.3750  2 Ge 2.83, 2 In 3.13
Y 0.7775 0.7500 0.1250  2 Ge 2.83, 2 In 3.13
In 0.0000 0.0000 0.5000  4 Y 3.13, 2 Ge 3.39
In 0.0000 0.5000 0.7500  4 Y 3.13, 2 Ge 3.39
In 0.5000 0.0000 0.2500  4 Y 3.13, 2 Ge 3.39
In 0.5000 0.5000 0.0000  4 Y 3.13, 2 Ge 3.39
Ge 0.0000 0.0000 0.0000  4 Y 2.83
Ge 0.0000 0.5000 0.2500  4 Y 2.83
Ge 0.5000 0.0000 0.7500  4 Y 2.83
Ge 0.5000 0.5000 0.5000  4 Y 2.83

The total energy is -86.58 eV per cell. The calculation puts the density of states at the Fermi level at 1.743 states/eV/f.u. The formation energy is -0.340 eV per atom.


The following is a DFT calculation (PBE) of a geometry-optimized TlSb2TeRh structure.

a b c (Å): 5.5676 5.5676 5.7025
angles (deg): 90.00 90.00 90.00
Closest atoms and distances in Å follow each position.
Fractional positions:
Tl 0.0000 0.0000 0.0000  4 Sb 2.78, 2 Te 2.85
Sb 0.0000 0.5000 0.0000  2 Tl 2.78
Sb 0.5000 0.0000 0.0000  2 Tl 2.78
Te 0.0000 0.0000 0.5000  2 Tl 2.85
Rh 0.5000 0.5000 0.5000  4 Te 3.94, 8 Sb 3.98

The total energy is -13.94 eV per cell. The value obtained for the formation energy from raw total energies is 7.16 eV/f.u. The calculation puts the density of states at the Fermi level at 7.327 states/eV/f.u. Its excess energy over the best structure of this formula in the dataset is 1.284 eV/atom.


The following is a DFT calculation (PBE) of a geometry-optimized La2TlSi structure.

a b c (Å): 3.9401 3.9548 7.2216
angles (deg): 90.00 90.00 90.00
Closest atoms and distances in Å follow each position.
Fractional positions:
La 0.0000 0.0000 0.2130  1 La 3.08, 4 Si 3.19
La 0.0000 0.0000 0.7870  1 La 3.08, 4 Si 3.19
Tl 0.5000 0.5000 0.5000  8 La 3.48, 2 Si 3.61
Si 0.5000 0.5000 0.0000  8 La 3.19

The total energy is -19.64 eV per cell. The value obtained for the formation energy from raw total energies is -1.99 eV/f.u. The calculation puts the density of states at the Fermi level at 2.440 states/eV/f.u.


The following is a DFT calculation (PBE) of a geometry-optimized KInI3 structure.

a b c (Å): 8.6261 9.4323 13.8480
angles (deg): 90.00 118.90 90.00
Closest atoms and distances in Å follow each position.
Fractional positions:
K 0.1414 0.1271 0.2215  7 I 3.54-3.93
K 0.1414 0.3729 0.7215  7 I 3.54-3.93
K 0.8586 0.6271 0.2785  7 I 3.54-3.93
K 0.8586 0.8729 0.7785  7 I 3.54-3.93
In 0.2807 0.7086 0.1282  4 I 2.90-3.03
In 0.2807 0.7914 0.6282  4 I 2.90-3.03
In 0.7193 0.2086 0.3718  4 I 2.90-3.03
In 0.7193 0.2914 0.8718  4 I 2.90-3.03
I 0.0796 0.1973 0.9370  1 In 2.92
I 0.0796 0.3027 0.4370  1 In 2.92
I 0.2588 0.6786 0.9137  1 In 2.90
I 0.2588 0.8214 0.4137  1 In 2.90
I 0.4610 0.0545 0.7611  2 In 3.00-3.03
I 0.4610 0.4455 0.2611  2 In 3.00-3.03
I 0.5390 0.5545 0.7389  2 In 3.00-3.03
I 0.5390 0.9455 0.2389  2 In 3.00-3.03
I 0.7412 0.1786 0.5863  1 In 2.90
I 0.7412 0.3214 0.0863  1 In 2.90
I 0.9204 0.6973 0.5630  1 In 2.92
I 0.9204 0.8027 0.0630  1 In 2.92

The total energy is -50.55 eV per cell. The value obtained for the formation energy from raw total energies is -4.15 eV/f.u. The calculation puts the density of states at the Fermi level at 1.600 states/eV/f.u.


The following is a DFT calculation (PBE) of a geometry-optimized PPt2W structure.

a b c (Å): 2.8990 4.0011 5.2764
angles (deg): 90.00 90.00 90.00
Closest atoms and distances in Å follow each position.
Fractional positions:
P 0.0000 0.0000 0.0000  2 W 2.64, 8 Pt 2.81, 2 P 2.90
Pt 0.5000 0.5000 0.2529  4 Pt 2.61-2.90, 4 W 2.79, 4 P 2.81
Pt 0.5000 0.5000 0.7471  4 Pt 2.61-2.90, 4 W 2.79, 4 P 2.81
W 0.0000 0.0000 0.5000  2 P 2.64, 8 Pt 2.79, 2 W 2.90

The total energy is -30.39 eV per cell. The calculation puts the density of states at the Fermi level at 2.742 states/eV/f.u. The formation energy is 0.012 eV per atom.


The following is a DFT calculation (PBE) of a geometry-optimized ZrTcNi2 structure.

a b c (Å): 3.2022 3.2022 5.7032
angles (deg): 90.00 90.00 90.00
Closest atoms and distances in Å follow each position.
Fractional positions:
Zr 0.0000 0.0000 0.0000  6 Ni 2.69-2.93, 4 Tc 2.87
Tc 0.5000 0.5000 0.6916  5 Ni 2.49-2.55
Ni 0.0000 0.0000 0.4857  4 Tc 2.55, 4 Ni 2.62, 1 Zr 2.77
Ni 0.5000 0.5000 0.2551  1 Tc 2.49, 4 Ni 2.62, 4 Zr 2.69

The total energy is -30.91 eV per cell. The calculation puts the density of states at the Fermi level at 5.762 states/eV/f.u. Its excess energy over the best structure of this formula in the dataset is 0.155 eV/atom. The formation energy is -0.109 eV per atom.


The following is a DFT calculation (PBE) of a geometry-optimized CaAg2Os structure.

a b c (Å): 6.7506 6.7506 6.7506
angles (deg): 90.00 90.00 90.00
Closest atoms and distances in Å follow each position.
Fractional positions:
Ca 0.0000 0.0000 0.0000  8 Ag 2.92
Ca 0.0000 0.5000 0.5000  8 Ag 2.92
Ca 0.5000 0.0000 0.5000  8 Ag 2.92
Ca 0.5000 0.5000 0.0000  8 Ag 2.92
Ag 0.2500 0.2500 0.2500  4 Os 2.92, 4 Ca 2.92
Ag 0.2500 0.2500 0.7500  4 Os 2.92, 4 Ca 2.92
Ag 0.2500 0.7500 0.2500  4 Os 2.92, 4 Ca 2.92
Ag 0.2500 0.7500 0.7500  4 Os 2.92, 4 Ca 2.92
Ag 0.7500 0.2500 0.2500  4 Os 2.92, 4 Ca 2.92
Ag 0.7500 0.2500 0.7500  4 Os 2.92, 4 Ca 2.92
Ag 0.7500 0.7500 0.2500  4 Os 2.92, 4 Ca 2.92
Ag 0.7500 0.7500 0.7500  4 Ca 2.92, 4 Os 2.92
Os 0.0000 0.0000 0.5000  8 Ag 2.92
Os 0.0000 0.5000 0.0000  8 Ag 2.92
Os 0.5000 0.0000 0.0000  8 Ag 2.92
Os 0.5000 0.5000 0.5000  8 Ag 2.92

The total energy is -67.04 eV per cell. The calculation puts the density of states at the Fermi level at 3.082 states/eV/f.u. Its excess energy over the best structure of this formula in the dataset is 0.104 eV/atom. The formation energy is 0.543 eV per atom.


The following is a DFT calculation (PBE) of a geometry-optimized Sr2InBr structure.

a b c (Å): 3.8795 3.8795 8.9467
angles (deg): 90.00 90.00 90.00
Closest atoms and distances in Å follow each position.
Fractional positions:
Sr 0.0000 0.0000 0.2377  4 In 3.47, 4 Br 3.61, 4 Sr 3.88
Sr 0.0000 0.0000 0.7623  4 In 3.47, 4 Br 3.61, 4 Sr 3.88
In 0.5000 0.5000 0.0000  8 Sr 3.47, 4 In 3.88
Br 0.5000 0.5000 0.5000  8 Sr 3.61, 4 Br 3.88

The total energy is -11.44 eV per cell. The value obtained for the formation energy from raw total energies is -3.67 eV/f.u. The calculation puts the density of states at the Fermi level at 1.225 states/eV/f.u. Its excess energy over the best structure of this formula in the dataset is 0.055 eV/atom.